Version P
This record from the Alexandria database describes a relaxed structure of YAsBr2Cl. The functional is PBE.

Geometry as CIF:
```
data_YAsBr2Cl
_chemical_formula_sum 'Y1 As1 Br2 Cl1'
_cell_length_a 5.402
_cell_length_b 5.402
_cell_length_c 6.079
_cell_angle_alpha 90.00
_cell_angle_beta 90.00
_cell_angle_gamma 90.00
_space_group_name_H-M_alt 'P 4/m m m'
_space_group_IT_number 123
_space_group_name_Hall '-P 4 2'
loop_
_atom_site_label
_atom_site_fract_x
_atom_site_fract_y
_atom_site_fract_z
Y1 0.000 0.000 0.000
As1 0.000 0.000 0.500
Br1 0.000 0.500 0.000
Cl1 0.500 0.500 0.500
```

---

Version Q
This record from the Alexandria database describes a relaxed structure of YAsBr2Cl. The functional is PBE.

Geometry as CIF:
```
data_YAsBr2Cl
_chemical_formula_sum 'Y1 As1 Br2 Cl1'
_cell_length_a 5.219
_cell_length_b 5.219
_cell_length_c 5.124
_cell_angle_alpha 90.00
_cell_angle_beta 90.00
_cell_angle_gamma 90.00
_space_group_name_H-M_alt 'P 4/m m m'
_space_group_IT_number 123
_space_group_name_Hall '-P 4 2'
loop_
_atom_site_label
_atom_site_fract_x
_atom_site_fract_y
_atom_site_fract_z
Y1 0.000 0.000 0.000
As1 0.500 0.500 0.000
Br1 0.000 0.500 0.500
Cl1 0.500 0.500 0.500
```

---

What are the relative energies? In eV/atom: version P 0.000; version Q 0.762.

---

Version P
This record from the Alexandria database describes a relaxed structure of ZnAsBr2Cl. The functional is PBE.

Geometry as CIF:
```
data_ZnAsBr2Cl
_chemical_formula_sum 'Zn1 As1 Br2 Cl1'
_cell_length_a 5.699
_cell_length_b 5.699
_cell_length_c 5.030
_cell_angle_alpha 90.00
_cell_angle_beta 90.00
_cell_angle_gamma 90.00
_space_group_name_H-M_alt 'P 4/m m m'
_space_group_IT_number 123
_space_group_name_Hall '-P 4 2'
loop_
_atom_site_label
_atom_site_fract_x
_atom_site_fract_y
_atom_site_fract_z
Zn1 0.000 0.000 0.000
As1 0.500 0.500 0.000
Br1 0.000 0.500 0.500
Cl1 0.500 0.500 0.500
```

---

Version Q
This record from the Alexandria database describes a relaxed structure of ZnAsBr2Cl. The functional is PBE.

Geometry as CIF:
```
data_ZnAsBr2Cl
_chemical_formula_sum 'Zn1 As1 Br2 Cl1'
_cell_length_a 4.952
_cell_length_b 4.952
_cell_length_c 5.350
_cell_angle_alpha 90.00
_cell_angle_beta 90.00
_cell_angle_gamma 90.00
_space_group_name_H-M_alt 'P 4/m m m'
_space_group_IT_number 123
_space_group_name_Hall '-P 4 2'
loop_
_atom_site_label
_atom_site_fract_x
_atom_site_fract_y
_atom_site_fract_z
Zn1 0.000 0.000 0.000
As1 0.000 0.000 0.500
Br1 0.000 0.500 0.000
Cl1 0.500 0.500 0.500
```

---

What are the relative energies? In eV/atom: version P 0.467; version Q 0.000.

---

Version P
This record from the Alexandria database describes a relaxed structure of ZrAs2BrCl. The functional is PBE.

Geometry as CIF:
```
data_ZrAs2BrCl
_chemical_formula_sum 'Zr1 As2 Br1 Cl1'
_cell_length_a 5.282
_cell_length_b 5.282
_cell_length_c 5.220
_cell_angle_alpha 90.00
_cell_angle_beta 90.00
_cell_angle_gamma 90.00
_space_group_name_H-M_alt 'P 4/m m m'
_space_group_IT_number 123
_space_group_name_Hall '-P 4 2'
loop_
_atom_site_label
_atom_site_fract_x
_atom_site_fract_y
_atom_site_fract_z
Zr1 0.000 0.000 0.000
As1 0.000 0.500 0.000
Br1 0.000 0.000 0.500
Cl1 0.500 0.500 0.500
```

---

Version Q
This record from the Alexandria database describes a relaxed structure of ZrAs2BrCl. The functional is PBE.

Geometry as CIF:
```
data_ZrAs2BrCl
_chemical_formula_sum 'Zr1 As2 Br1 Cl1'
_cell_length_a 4.673
_cell_length_b 4.673
_cell_length_c 5.659
_cell_angle_alpha 90.00
_cell_angle_beta 90.00
_cell_angle_gamma 90.00
_space_group_name_H-M_alt 'P 4/m m m'
_space_group_IT_number 123
_space_group_name_Hall '-P 4 2'
loop_
_atom_site_label
_atom_site_fract_x
_atom_site_fract_y
_atom_site_fract_z
Zr1 0.000 0.000 0.000
As1 0.000 0.500 0.500
Br1 0.500 0.500 0.000
Cl1 0.500 0.500 0.500
```

---

What are the relative energies? In eV/atom: version P 0.000; version Q 0.737.

---

Version P
This record from the Alexandria database describes a relaxed structure of CoAsBr. The functional is PBE.

Geometry as CIF:
```
data_CoAsBr
_chemical_formula_sum 'Co2 As2 Br2'
_cell_length_a 3.572
_cell_length_b 6.148
_cell_length_c 6.546
_cell_angle_alpha 69.01
_cell_angle_beta 81.36
_cell_angle_gamma 77.56
_space_group_name_H-M_alt 'P -1'
_space_group_IT_number 2
_space_group_name_Hall '-P 1'
loop_
_atom_site_label
_atom_site_fract_x
_atom_site_fract_y
_atom_site_fract_z
Co1 0.054 0.193 0.022
As1 0.417 0.021 0.780
Br1 0.156 0.567 0.739
```

---

Version Q
This record from the Alexandria database describes a relaxed structure of CoAsBr. The functional is PBE.

Geometry as CIF:
```
data_CoAsBr
_chemical_formula_sum 'Co4 As4 Br4'
_cell_length_a 6.338
_cell_length_b 6.338
_cell_length_c 6.338
_cell_angle_alpha 90.00
_cell_angle_beta 90.00
_cell_angle_gamma 90.00
_space_group_name_H-M_alt 'F -4 3 m'
_space_group_IT_number 216
_space_group_name_Hall 'F -4 2 3'
loop_
_atom_site_label
_atom_site_fract_x
_atom_site_fract_y
_atom_site_fract_z
Co1 0.000 0.000 0.000
As1 0.000 0.000 0.500
Br1 0.250 0.250 0.750
```

---

Version R
This record from the Alexandria database describes a relaxed structure of CoAsBr. The functional is PBE.

Geometry as CIF:
```
data_CoAsBr
_chemical_formula_sum 'Co2 As2 Br2'
_cell_length_a 2.985
_cell_length_b 2.985
_cell_length_c 14.133
_cell_angle_alpha 90.00
_cell_angle_beta 90.00
_cell_angle_gamma 90.00
_space_group_name_H-M_alt 'I 4 m m'
_space_group_IT_number 107
_space_group_name_Hall 'I 4 -2'
loop_
_atom_site_label
_atom_site_fract_x
_atom_site_fract_y
_atom_site_fract_z
Co1 0.000 0.000 0.000
As1 0.000 0.000 0.402
Br1 0.000 0.000 0.626
```

---

What are the relative energies? In eV/atom: version P 0.000; version Q 1.348; version R 0.359.

---

Version P
This record from the Alexandria database describes a relaxed structure of CoAsBr. The functional is PBE.

Geometry as CIF:
```
data_CoAsBr
_chemical_formula_sum 'Co4 As4 Br4'
_cell_length_a 6.394
_cell_length_b 6.394
_cell_length_c 6.394
_cell_angle_alpha 90.00
_cell_angle_beta 90.00
_cell_angle_gamma 90.00
_space_group_name_H-M_alt 'F -4 3 m'
_space_group_IT_number 216
_space_group_name_Hall 'F -4 2 3'
loop_
_atom_site_label
_atom_site_fract_x
_atom_site_fract_y
_atom_site_fract_z
Co1 0.000 0.000 0.000
As1 0.250 0.250 0.250
Br1 0.000 0.000 0.500
```

---

Version Q
This record from the Alexandria database describes a relaxed structure of CoAsBr. The functional is PBE.

Geometry as CIF:
```
data_CoAsBr
_chemical_formula_sum 'Co4 As4 Br4'
_cell_length_a 6.035
_cell_length_b 6.035
_cell_length_c 6.035
_cell_angle_alpha 90.00
_cell_angle_beta 90.00
_cell_angle_gamma 90.00
_space_group_name_H-M_alt 'F -4 3 m'
_space_group_IT_number 216
_space_group_name_Hall 'F -4 2 3'
loop_
_atom_site_label
_atom_site_fract_x
_atom_site_fract_y
_atom_site_fract_z
Co1 0.000 0.000 0.000
As1 0.250 0.250 0.250
Br1 0.250 0.250 0.750
```

---

Version R
This record from the Alexandria database describes a relaxed structure of CoAsBr. The functional is PBE.

Geometry as CIF:
```
data_CoAsBr
_chemical_formula_sum 'Co1 As1 Br1'
_cell_length_a 3.5424
_cell_length_b 3.5424
_cell_length_c 5.4889
_cell_angle_alpha 90.00
_cell_angle_beta 90.00
_cell_angle_gamma 120.00
_space_group_name_H-M_alt 'P 3 m 1'
_space_group_IT_number 156
_space_group_name_Hall 'P 3 -2"'
loop_
_atom_site_label
_atom_site_fract_x
_atom_site_fract_y
_atom_site_fract_z
Co1 0.0000 0.0000 0.0000
As1 0.6667 0.3333 0.1950
Br1 0.3333 0.6667 0.7195
```

---

What are the relative energies? In eV/atom: version P 1.061; version Q 0.411; version R 0.000.

---

Version P
This record from the Alexandria database describes a relaxed structure of CrCoAsBr2. The functional is PBE.

Geometry as CIF:
```
data_CrCoAsBr2
_chemical_formula_sum 'Cr1 Co1 As1 Br2'
_cell_length_a 5.045
_cell_length_b 5.045
_cell_length_c 4.892
_cell_angle_alpha 90.00
_cell_angle_beta 90.00
_cell_angle_gamma 90.00
_space_group_name_H-M_alt 'P 4/m m m'
_space_group_IT_number 123
_space_group_name_Hall '-P 4 2'
loop_
_atom_site_label
_atom_site_fract_x
_atom_site_fract_y
_atom_site_fract_z
Cr1 0.000 0.000 0.000
Co1 0.500 0.500 0.500
As1 0.000 0.000 0.500
Br1 0.000 0.500 0.000
```

---

Version Q
This record from the Alexandria database describes a relaxed structure of CrCoAsBr2. The functional is PBE.

Geometry as CIF:
```
data_CrCoAsBr2
_chemical_formula_sum 'Cr1 Co1 As1 Br2'
_cell_length_a 5.109
_cell_length_b 5.109
_cell_length_c 4.403
_cell_angle_alpha 90.00
_cell_angle_beta 90.00
_cell_angle_gamma 90.00
_space_group_name_H-M_alt 'P 4/m m m'
_space_group_IT_number 123
_space_group_name_Hall '-P 4 2'
loop_
_atom_site_label
_atom_site_fract_x
_atom_site_fract_y
_atom_site_fract_z
Cr1 0.000 0.000 0.000
Co1 0.500 0.500 0.500
As1 0.500 0.500 0.000
Br1 0.000 0.500 0.500
```

---

What are the relative energies? In eV/atom: version P 0.214; version Q 0.000.